A geometry-optimized MgNpGa6 structure, computed with PBE.

Structure (CIF):
```
data_MgNpGa6
_chemical_formula_sum 'Mg1 Np1 Ga6'
_space_group_name_H-M_alt 'P 4/m m m'
_space_group_IT_number 123
_space_group_name_Hall '-P 4 2'
_cell_length_a 4.2693
_cell_length_b 4.2693
_cell_length_c 8.2547
_cell_angle_alpha 90.00
_cell_angle_beta 90.00
_cell_angle_gamma 90.00
loop_
_atom_site_label
_atom_site_fract_x
_atom_site_fract_y
_atom_site_fract_z
_atom_site_occupancy
Mg1 0.0000 0.0000 0.0000 1
Np1 0.0000 0.0000 0.5000 1
Ga1 0.0000 0.5000 0.2409 1
Ga2 0.5000 0.5000 0.0000 1
Ga3 0.5000 0.5000 0.5000 1
```

Calculated values
energy relative to the elements	-127	meV/atom
crystal system	tetragonal



A geometry-optimized CaVI3 structure, computed with PBE.

Structure (CIF):
```
data_CaVI3
_chemical_formula_sum 'Ca1 V1 I3'
_space_group_name_H-M_alt 'P m -3 m'
_space_group_IT_number 221
_space_group_name_Hall '-P 4 2 3'
_cell_length_a 5.6067
_cell_length_b 5.6067
_cell_length_c 5.6067
_cell_angle_alpha 90.00
_cell_angle_beta 90.00
_cell_angle_gamma 90.00
loop_
_atom_site_label
_atom_site_fract_x
_atom_site_fract_y
_atom_site_fract_z
_atom_site_occupancy
Ca1 0.0000 0.0000 0.0000 1
V1 0.5000 0.5000 0.5000 1
I1 0.0000 0.5000 0.5000 1
```

Calculated values
crystal system	cubic
formation energy (no corrections)	-441	meV/atom